CuBAs2Br | PBE | relaxed

abc: 4.0629 4.0629 7.8944
angles: 90.00 90.00 90.00
Closest atoms and distances in Å follow each position.
Space group P4/mmm (No. 123)
Unique sites:
Cu (0.0000, 0.0000, 0.0000) x1  4 Br 2.87
B (0.5000, 0.5000, 0.5000) x1  4 As 2.03
As (0.0000, 0.5000, 0.5000) x2  2 B 2.03
Br (0.5000, 0.5000, 0.0000) x1  4 Cu 2.87

Properties
Total energy ... -3.4574 eV/atom
N(E_F) ... 4.03 states/eV/cell
Raw formation energy ... 0.89 eV/atom
Calculated density ... 3.9 g cm⁻³
Offset from the most stable computed form ... 0.000 eV per atom

=====

Li2PmInF8 | PBE | relaxed

abc: 3.8464 5.2519 7.6134
angles: 83.49 89.43 81.31
Closest atoms and distances in Å follow each position.
Space group P-1 (No. 2)
Unique sites:
Li (0.0690, 0.0492, 0.2958) x2  5 F 2.01-2.14
Pm (0.5000, 0.5000, 0.0000) x1  8 F 2.32-2.43
In (0.5000, 0.5000, 0.5000) x1  8 F 2.18-2.33
F (0.0561, 0.2482, 0.0499) x2  1 Li 2.04
F (0.0591, 0.2560, 0.5152) x2  2 Li 2.09-2.14, 2 In 2.27-2.33
F (0.4201, 0.7425, 0.2450) x2  1 Li 2.01, 1 In 2.20
F (0.4348, 0.7509, 0.7111) x2  1 Li 2.06, 1 In 2.18

Properties
Total energy ... -5.3386 eV/atom
N(E_F) ... 0.00 states/eV/cell
Raw formation energy ... -3.15 eV/atom
Calculated density ... 4.7 g cm⁻³

=====

LaHfSe3 | PBE | relaxed

abc: 5.5779 5.5779 5.5779
angles: 90.00 90.00 90.00
Closest atoms and distances in Å follow each position.
Space group Pm-3m (No. 221)
Unique sites:
La (0.0000, 0.0000, 0.0000) x1  6 Se 2.79
Hf (0.5000, 0.5000, 0.5000) x1  12 Se 3.94
Se (0.0000, 0.0000, 0.5000) x3  2 La 2.79

Properties
Total energy ... -4.9939 eV/atom
N(E_F) ... 5.84 states/eV/cell
Raw formation energy ... 0.07 eV/atom
Calculated density ... 5.3 g cm⁻³
Offset from the most stable computed form ... 1.685 eV per atom

=====

CoSi4Cl | PBE | relaxed

abc: 7.2262 7.2262 7.2262
angles: 90.00 90.00 90.00
Closest atoms and distances in Å follow each position.
Space group F-43m (No. 216)
Unique sites:
Co (0.0000, 0.0000, 0.0000) x4  12 Si 3.00, 4 Cl 3.13
Si (0.1242, 0.1242, 0.6242) x16  6 Si 2.54-2.57
Cl (0.2500, 0.2500, 0.2500) x4  12 Si 2.99, 4 Co 3.13

Properties
Total energy ... -4.4421 eV/atom
N(E_F) ... 24.23 states/eV/cell
Raw formation energy ... 0.67 eV/atom
Calculated density ... 3.6 g cm⁻³

=====

Mg3GeRh3 | PBE | relaxed

abc: 8.5367 8.5367 5.4550
angles: 90.00 90.00 120.00
Closest atoms and distances in Å follow each position.
Space group R-3m (No. 166, hexagonal axes)
Unique sites:
Mg (0.0000, 0.5000, 0.0000) x9  6 Rh 2.63-2.73
Ge (0.0000, 0.0000, 0.0000) x3  6 Rh 2.63
Rh (0.0000, 0.5000, 0.5000) x9  2 Ge 2.63, 6 Mg 2.63-2.73

Properties
Total energy ... -5.0479 eV/atom
N(E_F) ... 8.11 states/eV/cell
Calculated density ... 6.6 g cm⁻³
Calculated formation energy ... -374 kJ/mol of formula units

=====

Ce4HoTh | PBE | relaxed

abc: 5.3271 9.8319 6.5607
angles: 90.00 90.00 90.00
Closest atoms and distances in Å follow each position.
Space group Cmmm (No. 65)
Unique sites:
Ce (0.0000, 0.1822, 0.2185) x8  3 Ce 2.87-2.98
Ho (0.0000, 0.5000, 0.5000) x2  2 Th 3.28, 4 Ce 3.63
Th (0.0000, 0.5000, 0.0000) x2  2 Ho 3.28, 12 Ce 3.44-3.52

Properties
Total energy ... -5.8632 eV/atom
N(E_F) ... 36.54 states/eV/cell
Calculated density ... 9.3 g cm⁻³
Calculated formation energy ... 53 kJ/mol of formula units
Offset from the most stable computed form ... 0.000 eV per atom

=====

NdY2Pu3Se6 | PBE | relaxed

abc: 18.0786 4.1253 8.3069
angles: 90.00 103.72 90.00
Closest atoms and distances in Å follow each position.
Space group C2/m (No. 12)
Unique sites:
Nd (0.0000, 0.0000, 0.0000) x2  6 Se 2.96-2.97
Y (0.1663, 0.5000, 0.3321) x4  6 Se 2.89-2.91
Pu (0.0000, 0.0000, 0.5000) x2  6 Se 2.89-2.95
Pu (0.1649, 0.5000, 0.8332) x4  6 Se 2.91-2.95
Se (0.0018, 0.5000, 0.2566) x4  1 Y 2.89, 3 Pu 2.89-2.93, 2 Nd 2.96
Se (0.1679, 0.0000, 0.5806) x4  3 Y 2.91, 3 Pu 2.95
Se (0.1694, 0.0000, 0.0877) x4  2 Y 2.90, 3 Pu 2.91-2.94, 1 Nd 2.97

Properties
Total energy ... -8.4846 eV/atom
N(E_F) ... 53.93 states/eV/cell
Raw formation energy ... -1.68 eV/atom
Calculated density ... 8.4 g cm⁻³

=====

Rb3Ho2SnS6 | PBE | relaxed

abc: 7.0625 12.2332 8.0095
angles: 90.00 107.08 90.00
Closest atoms and distances in Å follow each position.
Space group C2/m (No. 12)
Unique sites:
Rb (0.0000, 0.0000, 0.0000) x2  6 S 3.33-3.34
Rb (0.0000, 0.3345, 0.0000) x4  6 S 3.34
Ho (0.0000, 0.1668, 0.5000) x4  6 S 2.76-2.77
Sn (0.0000, 0.5000, 0.5000) x2  6 S 2.78-2.79
S (0.2281, 0.0000, 0.6909) x4  2 Ho 2.77, 1 Sn 2.78
S (0.2315, 0.3323, 0.6911) x8  2 Ho 2.76-2.77, 1 Sn 2.79

Properties
Total energy ... -4.8584 eV/atom
N(E_F) ... 9.84 states/eV/cell
Raw formation energy ... -1.46 eV/atom
Calculated density ... 4.5 g cm⁻³

=====

K2BeSbO4 | PBE | relaxed

abc: 5.7006 5.7006 7.7405
angles: 90.00 90.00 90.00
Closest atoms and distances in Å follow each position.
Space group I-4 (No. 82)
Unique sites:
K (0.0000, 0.0000, 0.0000) x2  4 O 2.82
K (0.0000, 0.5000, 0.2500) x2  4 O 2.71
Be (0.0000, 0.0000, 0.5000) x2  4 O 1.69
Sb (0.0000, 0.5000, 0.7500) x2  4 O 2.03
O (0.1219, 0.7784, 0.6146) x8  1 Be 1.69

Properties
Total energy ... -5.3937 eV/atom
N(E_F) ... 4.50 states/eV/cell
Raw formation energy ... -1.66 eV/atom
Calculated density ... 3.6 g cm⁻³

=====

Pr6Sb4As | PBE | relaxed

abc: 12.5948 12.5948 15.6242
angles: 90.00 90.00 120.00
Closest atoms and distances in Å follow each position.
Space group R-3c (No. 167, hexagonal axes)
Unique sites:
Pr (0.0312, 0.1982, 0.3916) x36  1 As 2.88, 1 Sb 3.21
Sb (0.0000, 0.0000, 0.2500) x6  6 Pr 3.21
Sb (0.0000, 0.3794, 0.2500) x18  8 Pr 3.34-3.50
As (0.0000, 0.0000, 0.0000) x6  6 Pr 2.88

Properties
Total energy ... -5.5707 eV/atom
N(E_F) ... 56.64 states/eV/cell
Raw formation energy ... -1.04 eV/atom
Calculated density ... 6.5 g cm⁻³

=====

Ca2OsAu | PBE | relaxed

abc: 2.8557 5.1208 5.9375
angles: 90.00 90.00 90.00
Closest atoms and distances in Å follow each position.
Space group Pmm2 (No. 25)
Unique sites:
Ca (0.0000, 0.0000, 0.0000) x1  2 Ca 2.86, 2 Os 2.96-2.98, 4 Au 3.05
Ca (0.5000, 0.5000, 0.3729) x1  2 Ca 2.86, 2 Au 2.90-3.04, 4 Os 3.03
Os (0.0000, 0.0000, 0.5014) x1  2 Os 2.86, 6 Ca 2.96-3.03
Au (0.5000, 0.5000, 0.8613) x1  2 Au 2.86, 6 Ca 2.90-3.05

Properties
Total energy ... -4.3919 eV/atom
N(E_F) ... 2.08 states/eV/cell
Calculated density ... 8.9 g cm⁻³
Calculated formation energy ... 91 kJ/mol of formula units

=====

InAgNF2 | PBE | relaxed

abc: 4.3066 4.3066 4.3469
angles: 90.00 90.00 90.00
Closest atoms and distances in Å follow each position.
Space group P4/mmm (No. 123)
Unique sites:
In (0.0000, 0.0000, 0.0000) x1  4 F 2.15, 2 N 2.17
Ag (0.5000, 0.5000, 0.5000) x1  4 N 3.05, 8 F 3.06
N (0.0000, 0.0000, 0.5000) x1  2 In 2.17
F (0.0000, 0.5000, 0.0000) x2  2 In 2.15

Properties
Total energy ... -4.0883 eV/atom
N(E_F) ... 1.24 states/eV/cell
Raw formation energy ... -0.56 eV/atom
Calculated density ... 5.7 g cm⁻³
Offset from the most stable computed form ... 0.000 eV per atom

=====

Question: calculated density of number 4 (CoSi4Cl)?
Answer: 3.6 g cm⁻³